1.
BeP2W: optimized geometry, PBEsol. Values from VASP.

Results
The calculation puts the density of states at the Fermi level at 0.19 states/eV per atom. The value obtained for the formation enthalpy at 0 K is -230 meV per atom. The space group is Amm2.

The structure in Quantum ESPRESSO input format:
```
&SYSTEM
  ibrav = 0, nat = 4, ntyp = 3
/
ATOMIC_SPECIES
P 30.97 P.upf
W 183.84 W.upf
Be 9.01 Be.upf
CELL_PARAMETERS angstrom
3.156 0.000 0.000
0.000 3.166 0.000
-1.578 0.000 5.331
ATOMIC_POSITIONS angstrom
P 1.578 1.583 4.860
P 0.000 0.000 2.511
W 1.578 0.000 0.648
Be 1.578 1.583 2.643
```


2.
K2ScW: optimized geometry, PBEsol. Values from VASP.

Results
The calculation puts the density of states at the Fermi level at 1.29 states/eV per atom. The value obtained for the formation enthalpy at 0 K is 1528 meV per atom. The space group is P4/mmm.

The structure in Quantum ESPRESSO input format:
```
&SYSTEM
  ibrav = 0, nat = 4, ntyp = 3
/
ATOMIC_SPECIES
K 39.10 K.upf
Sc 44.96 Sc.upf
W 183.84 W.upf
CELL_PARAMETERS angstrom
4.136 0.000 0.000
0.000 4.136 0.000
0.000 0.000 6.249
ATOMIC_POSITIONS angstrom
K 0.000 2.068 0.000
K 2.068 0.000 0.000
Sc 2.068 2.068 3.125
W 0.000 0.000 3.125
```


3.
Zn3Cu: optimized geometry, PBEsol. Values from VASP.

Results
The calculation puts the density of states at the Fermi level at 0.23 states/eV per atom. The value obtained for the formation enthalpy at 0 K is -83 meV per atom. The space group is P6_3/mmc.

The structure in Quantum ESPRESSO input format:
```
&SYSTEM
  ibrav = 0, nat = 8, ntyp = 2
/
ATOMIC_SPECIES
Zn 65.41 Zn.upf
Cu 63.55 Cu.upf
CELL_PARAMETERS angstrom
-4.028 0.951 0.942
0.783 -1.627 4.994
0.890 5.068 -1.312
ATOMIC_POSITIONS angstrom
Zn 0.250 3.372 2.448
Zn -0.573 1.679 0.637
Zn -0.136 4.172 -0.008
Zn -2.605 1.020 2.175
Zn -1.782 2.713 3.987
Zn -2.220 0.220 4.632
Cu -2.167 3.550 1.496
Cu -0.188 0.842 3.127
```


4.
Hg2IrPb: optimized geometry, PBEsol. Values from VASP.

Results
The calculation puts the density of states at the Fermi level at 0.55 states/eV per atom. The value obtained for the formation enthalpy at 0 K is 512 meV per atom. The space group is Cmmm.

The structure in Quantum ESPRESSO input format:
```
&SYSTEM
  ibrav = 0, nat = 4, ntyp = 3
/
ATOMIC_SPECIES
Hg 200.59 Hg.upf
Ir 192.22 Ir.upf
Pb 207.20 Pb.upf
CELL_PARAMETERS angstrom
3.287 0.000 0.000
0.000 5.158 0.041
0.000 -2.005 4.752
ATOMIC_POSITIONS angstrom
Hg 0.000 2.579 0.020
Hg 0.000 -1.002 2.376
Ir 1.643 0.000 0.000
Pb 1.643 1.576 2.397
```


5.
Cs3InCl6: optimized geometry, PBEsol. Values from VASP.

Results
The calculation puts the density of states at the Fermi level at 0.00 states/eV per atom. The value obtained for the formation energy without anion corrections is -1.6488 eV per atom. The space group is Fm-3m.

The structure in Quantum ESPRESSO input format:
```
&SYSTEM
  ibrav = 0, nat = 10, ntyp = 3
/
ATOMIC_SPECIES
Cs 132.91 Cs.upf
Cl 35.45 Cl.upf
In 114.82 In.upf
CELL_PARAMETERS angstrom
8.030 0.000 0.000
4.015 6.954 0.000
4.015 2.318 6.557
ATOMIC_POSITIONS angstrom
Cs 12.045 6.954 4.917
Cs 4.015 2.318 1.639
Cs 8.030 4.636 3.278
Cl 5.789 5.930 1.449
Cl 8.030 7.224 5.108
Cl 8.030 2.049 1.449
Cl 5.789 3.342 5.108
Cl 10.271 5.930 1.449
Cl 10.271 3.342 5.108
In 0.000 0.000 0.000
```


6.
SrCaZnSi2O7: optimized geometry, PBEsol. Values from VASP.

Results
The calculation puts the density of states at the Fermi level at 0.00 states/eV per atom. The value obtained for the formation energy without anion corrections is -2.7847 eV per atom. The space group is P2_1.

The structure in Quantum ESPRESSO input format:
```
&SYSTEM
  ibrav = 0, nat = 24, ntyp = 5
/
ATOMIC_SPECIES
Sr 87.62 Sr.upf
Ca 40.08 Ca.upf
Zn 65.41 Zn.upf
Si 28.09 Si.upf
O 16.00 O.upf
CELL_PARAMETERS angstrom
-1.944 0.004 4.679
4.689 -6.069 1.826
5.643 5.064 2.340
ATOMIC_POSITIONS angstrom
Sr 4.130 3.694 4.502
Sr 5.212 -3.838 4.740
Ca 1.978 -1.615 3.498
Ca 5.590 -0.121 5.007
Zn 4.008 1.021 1.654
Zn 1.590 -4.525 6.034
Si 3.017 -1.821 6.313
Si 6.596 1.921 3.040
Si 5.895 -2.093 7.534
Si 1.251 -0.022 0.796
O 4.317 -1.860 3.108
O 5.231 1.901 6.219
O 7.207 -2.095 4.335
O -0.078 -0.035 3.988
O 2.831 -0.481 5.390
O 7.423 1.156 4.229
O 1.961 2.605 5.221
O 4.501 -5.334 2.825
O 2.181 0.500 2.042
O 6.902 -0.877 7.092
O 5.044 1.419 3.245
O 2.630 -3.060 5.304
O 0.909 -1.581 1.300
O 4.687 -1.925 6.387
```


7.
Be4TeOs: optimized geometry, PBEsol. Values from VASP.

Results
The calculation puts the density of states at the Fermi level at 0.14 states/eV per atom. The value obtained for the formation energy without anion corrections is 0.1973 eV per atom. The space group is F-43m.

The structure in Quantum ESPRESSO input format:
```
&SYSTEM
  ibrav = 0, nat = 6, ntyp = 3
/
ATOMIC_SPECIES
Be 9.01 Be.upf
Te 127.60 Te.upf
Os 190.23 Os.upf
CELL_PARAMETERS angstrom
4.570 0.000 0.000
2.285 3.958 0.000
2.285 1.319 3.731
ATOMIC_POSITIONS angstrom
Be 3.470 2.003 1.417
Be 4.570 3.908 1.417
Be 4.570 2.638 3.213
Be 5.670 2.003 1.417
Te 0.000 0.000 0.000
Os 6.855 3.958 2.799
```


8.
Cr4Ni: optimized geometry, PBEsol. Values from VASP.

Results
The calculation puts the density of states at the Fermi level at 0.87 states/eV per atom. The value obtained for the formation enthalpy at 0 K is 40 meV per atom. The space group is Fmmm.

The structure in Quantum ESPRESSO input format:
```
&SYSTEM
  ibrav = 0, nat = 5, ntyp = 2
/
ATOMIC_SPECIES
Ni 58.69 Ni.upf
Cr 52.00 Cr.upf
CELL_PARAMETERS angstrom
2.406 -0.003 0.000
-0.709 2.300 0.000
-0.849 -1.148 9.886
ATOMIC_POSITIONS angstrom
Ni 0.000 0.000 0.000
Cr 0.000 0.000 7.931
Cr 0.849 1.148 5.947
Cr 0.000 0.000 3.939
Cr 0.849 1.148 1.955
```


- Which formula does entry 6 have?
  SrCaZnSi2O7


Please write out number 1 again, unchanged.
BeP2W: optimized geometry, PBEsol. Values from VASP.

Results
The calculation puts the density of states at the Fermi level at 0.19 states/eV per atom. The value obtained for the formation enthalpy at 0 K is -230 meV per atom. The space group is Amm2.

The structure in Quantum ESPRESSO input format:
```
&SYSTEM
  ibrav = 0, nat = 4, ntyp = 3
/
ATOMIC_SPECIES
P 30.97 P.upf
W 183.84 W.upf
Be 9.01 Be.upf
CELL_PARAMETERS angstrom
3.156 0.000 0.000
0.000 3.166 0.000
-1.578 0.000 5.331
ATOMIC_POSITIONS angstrom
P 1.578 1.583 4.860
P 0.000 0.000 2.511
W 1.578 0.000 0.648
Be 1.578 1.583 2.643
```